(1)
## CdRhSe2N (GGA-PBEsol)

Data for an optimized crystal structure of CdRhSe2N.

Cell: 5.110 5.110 3.590 Å, 90.00 90.00 90.00°
Fractional positions:
Cd1 0.000 0.000 0.000
Rh1 0.500 0.500 0.500
Se1 0.000 0.500 0.500
Se2 0.500 0.000 0.500
N1 0.500 0.500 0.000

Properties
Its space group is P4/mmm, No. 123. As for the total energy: -4.88 eV per atom.


(2)
## Cd2SN (GGA-PBEsol)

Data for an optimized crystal structure of Cd2SN.

Cell: 6.520 6.520 6.520 Å, 130.12 130.12 73.21°
Fractional positions:
Cd1 0.066 0.625 0.941
Cd2 0.375 0.316 0.441
Cd3 0.684 0.125 0.059
Cd4 0.875 0.934 0.559
S1 0.250 0.750 0.500
S2 0.500 0.500 0.000
N1 0.000 0.000 0.000
N2 0.750 0.250 0.500

Properties
Its space group is I-42d, No. 122. As for the total energy: -3.58 eV per atom.


(3)
## ScCdS2N (GGA-PBEsol)

Data for an optimized crystal structure of ScCdS2N.

Cell: 4.943 4.943 4.051 Å, 90.00 90.00 90.00°
Fractional positions:
Sc1 0.000 0.000 0.000
Cd1 0.500 0.500 0.500
S1 0.000 0.500 0.000
S2 0.500 0.000 0.000
N1 0.000 0.000 0.500

Properties
Its space group is P4/mmm, No. 123. As for the total energy: -5.10 eV per atom.


Number 1: total moment 0.0 Bohr magnetons per cell. Number 2: total moment 0.0 Bohr magnetons per cell. Number 3: total moment 2.0 Bohr magnetons per cell.